Entry 1:
# BaTmAgTeS2 PBE-GGA optimized geometry
# Polymorph energy (0 for the lowest one) in eV/atom: 0.0000
# Electronic total energy in Ha/atom: -0.1831
data_BaTmAgTeS2
_space_group_name_H-M_alt 'P 1'
_space_group_IT_number 1
_space_group_name_Hall 'P 1'
_cell_length_a 8.266
_cell_length_b 4.178
_cell_length_c 9.745
_cell_angle_alpha 90.00
_cell_angle_beta 105.97
_cell_angle_gamma 90.00
loop_
_atom_site_label
_atom_site_fract_x
_atom_site_fract_y
_atom_site_fract_z
Ba1 0.206 0.250 0.229
Ba2 0.794 0.750 0.771
Tm1 0.326 0.750 0.854
Tm2 0.674 0.250 0.146
Ag1 0.085 0.250 0.595
Ag2 0.915 0.750 0.405
Te1 0.288 0.750 0.532
Te2 0.712 0.250 0.468
S1 0.111 0.250 0.867
S2 0.450 0.750 0.137
S3 0.550 0.250 0.863
S4 0.889 0.750 0.133

---

Entry 2:
# HoEr6Mg PBE-GGA optimized geometry
# Electronic total energy in Ha/atom: -0.1531
data_HoEr6Mg
_space_group_name_H-M_alt 'P 1'
_space_group_IT_number 1
_space_group_name_Hall 'P 1'
_cell_length_a 7.052
_cell_length_b 7.052
_cell_length_c 5.559
_cell_angle_alpha 90.00
_cell_angle_beta 90.00
_cell_angle_gamma 120.00
loop_
_atom_site_label
_atom_site_fract_x
_atom_site_fract_y
_atom_site_fract_z
Ho1 0.000 0.000 0.000
Er1 0.001 0.500 0.000
Er2 0.164 0.328 0.500
Er3 0.164 0.836 0.500
Er4 0.500 0.500 0.000
Er5 0.500 0.999 0.000
Er6 0.672 0.836 0.500
Mg1 0.667 0.333 0.500

---

Entry 3:
# Cu5Ag4 PBE-GGA optimized geometry
# Polymorph energy (0 for the lowest one) in eV/atom: 0.0578
# Formation energy in eV/atom: 0.0983
# Electronic total energy in Ha/atom: -0.1184
data_Cu5Ag4
_space_group_name_H-M_alt 'P 1'
_space_group_IT_number 1
_space_group_name_Hall 'P 1'
_cell_length_a 6.235
_cell_length_b 6.235
_cell_length_c 6.235
_cell_angle_alpha 145.41
_cell_angle_beta 95.70
_cell_angle_gamma 94.44
loop_
_atom_site_label
_atom_site_fract_x
_atom_site_fract_y
_atom_site_fract_z
Cu1 0.000 0.000 0.000
Cu2 0.309 0.647 0.662
Cu3 0.319 0.995 0.324
Cu4 0.672 0.995 0.676
Cu5 0.985 0.647 0.338
Ag1 0.317 0.317 0.000
Ag2 0.645 0.645 0.000
Ag3 0.659 0.328 0.330
Ag4 0.998 0.328 0.670

---

Entry 4:
# LuInFeCu PBE-GGA optimized geometry
# Polymorph energy (0 for the lowest one) in eV/atom: 0.1101
# Electronic total energy in Ha/atom: -0.1743
data_LuInFeCu
_space_group_name_H-M_alt 'P 1'
_space_group_IT_number 1
_space_group_name_Hall 'P 1'
_cell_length_a 6.603
_cell_length_b 6.603
_cell_length_c 6.603
_cell_angle_alpha 90.00
_cell_angle_beta 90.00
_cell_angle_gamma 90.00
loop_
_atom_site_label
_atom_site_fract_x
_atom_site_fract_y
_atom_site_fract_z
Lu1 0.000 0.000 0.000
Lu2 0.000 0.500 0.500
Lu3 0.500 0.000 0.500
Lu4 0.500 0.500 0.000
In1 0.250 0.250 0.250
In2 0.250 0.750 0.750
In3 0.750 0.250 0.750
In4 0.750 0.750 0.250
Fe1 0.000 0.000 0.500
Fe2 0.000 0.500 0.000
Fe3 0.500 0.000 0.000
Fe4 0.500 0.500 0.500
Cu1 0.250 0.250 0.750
Cu2 0.250 0.750 0.250
Cu3 0.750 0.250 0.250
Cu4 0.750 0.750 0.750